A plane-wave DFT calculation with GGA-PBE was carried out for a geometry-optimized Ni21Sn2B6 structure.

The calculation puts the calculated formation energy at -27.0 kJ per mole of atoms. The calculation puts the final energy at -710.33 eV per cell. For the density of states at the Fermi level, the calculation gives 18.8 states/eV/f.u.

The structure belongs to space group Fm-3m (No. 225); the cell edges are 10.5980, 10.5980 and 10.5980 Å and the angles 90.00°, 90.00° and 90.00°. The inequivalent atoms are Ni at (0.0000, 0.0000, 0.0000), Ni at (0.0000, 0.1681, 0.1681), Ni at (0.1145, 0.1145, 0.3855), Sn at (0.2500, 0.2500, 0.2500) and B at (0.0000, 0.0000, 0.2719).

=====

A plane-wave DFT calculation with GGA-PBE was carried out for a geometry-optimized NiSn3B structure.

The calculation puts the calculated formation energy at 87.7 kJ per mole of atoms. The calculation puts the final energy at -19.92 eV per cell. For the density of states at the Fermi level, the calculation gives 4.4 states/eV/f.u.

The structure belongs to space group Pm-3m (No. 221); the cell edges are 4.9100, 4.9100 and 4.9100 Å and the angles 90.00°, 90.00° and 90.00°. The inequivalent atoms are Ni at (0.0000, 0.0000, 0.0000), Sn at (0.0000, 0.0000, 0.5000) and B at (0.5000, 0.5000, 0.5000).

=====

A plane-wave DFT calculation with GGA-PBE was carried out for a geometry-optimized Ni2SnB2 structure.

The calculation puts the calculated formation energy at 5.0 kJ per mole of atoms. The calculation puts the final energy at -57.32 eV per cell. For the density of states at the Fermi level, the calculation gives 1.3 states/eV/f.u.

The structure belongs to space group I4/mmm (No. 139); the cell edges are 2.9437, 2.9437 and 13.2681 Å and the angles 90.00°, 90.00° and 90.00°. The inequivalent atoms are Ni at (0.0000, 0.0000, 0.1442), Sn at (0.0000, 0.0000, 0.5000) and B at (0.0000, 0.5000, 0.2500).

=====

A plane-wave DFT calculation with GGA-PBE was carried out for a geometry-optimized Ni11SnB5 structure.

The calculation puts the calculated formation energy at -15.0 kJ per mole of atoms. The calculation puts the final energy at -207.24 eV per cell. For the density of states at the Fermi level, the calculation gives 6.8 states/eV/f.u.

The structure belongs to space group C2/m (No. 12); the cell edges are 7.7159, 9.3103 and 5.0596 Å and the angles 90.00°, 105.02° and 90.00°. The inequivalent atoms are Ni at (0.0000, 0.0000, 0.0000), Ni at (0.0988, 0.2298, 0.8334), Ni at (0.1655, 0.5000, 0.8729), Ni at (0.1745, 0.3645, 0.4093), Sn at (0.0000, 0.0000, 0.5000), B at (0.0000, 0.5000, 0.5000) and B at (0.1740, 0.1690, 0.2146).

=====

A plane-wave DFT calculation with GGA-PBE was carried out for a geometry-optimized Ni8SnB4 structure.

The calculation puts the calculated formation energy at -8.5 kJ per mole of atoms. The calculation puts the final energy at -156.21 eV per cell. For the density of states at the Fermi level, the calculation gives 7.3 states/eV/f.u.

The structure belongs to space group C2/m (No. 12); the cell edges are 8.7857, 5.0152 and 6.6913 Å and the angles 90.00°, 113.18° and 90.00°. The inequivalent atoms are Ni at (0.0180, 0.0000, 0.3213), Ni at (0.0754, 0.5000, 0.8887), Ni at (0.2347, 0.2593, 0.2406), Sn at (0.0000, 0.5000, 0.5000), B at (0.0000, 0.1729, 0.0000) and B at (0.1752, 0.0000, 0.9650).

=====

A plane-wave DFT calculation with GGA-PBE was carried out for a geometry-optimized NiSn2B2 structure.

The calculation puts the calculated formation energy at 65.0 kJ per mole of atoms. The calculation puts the final energy at -47.55 eV per cell. For the density of states at the Fermi level, the calculation gives 2.5 states/eV/f.u.

The structure belongs to space group P4/mbm (No. 127); the cell edges are 6.1712, 6.1712 and 3.7175 Å and the angles 90.00°, 90.00° and 90.00°. The inequivalent atoms are Ni at (0.0000, 0.0000, 0.0000), Sn at (0.2110, 0.2890, 0.5000) and B at (0.0979, 0.5979, 0.0000).

=====

A plane-wave DFT calculation with GGA-PBE was carried out for a geometry-optimized SrNi2SnB structure.

The calculation puts the calculated formation energy at 22.4 kJ per mole of atoms. The calculation puts the final energy at -22.77 eV per cell. For the density of states at the Fermi level, the calculation gives 4.1 states/eV/f.u.

The structure belongs to space group P4/mmm (No. 123); the cell edges are 4.3344, 4.3344 and 4.6322 Å and the angles 90.00°, 90.00° and 90.00°. The inequivalent atoms are Sr at (0.0000, 0.0000, 0.0000), Ni at (0.0000, 0.5000, 0.5000), Sn at (0.5000, 0.5000, 0.0000) and B at (0.5000, 0.5000, 0.5000).

=====

A plane-wave DFT calculation with GGA-PBE was carried out for a geometry-optimized TcNi2SnB structure.

The calculation puts the calculated formation energy at -15.1 kJ per mole of atoms. The calculation puts the final energy at -33.39 eV per cell. For the density of states at the Fermi level, the calculation gives 2.0 states/eV/f.u.

The structure belongs to space group P4/mmm (No. 123); the cell edges are 3.9540, 3.9540 and 4.1280 Å and the angles 90.00°, 90.00° and 90.00°. The inequivalent atoms are Tc at (0.0000, 0.0000, 0.0000), Ni at (0.0000, 0.5000, 0.5000), Sn at (0.5000, 0.5000, 0.0000) and B at (0.0000, 0.0000, 0.5000).

=====

A plane-wave DFT calculation with GGA-PBE was carried out for a geometry-optimized Th2Ni12SnB3 structure.

The calculation puts the calculated formation energy at -13.6 kJ per mole of atoms. The calculation puts the final energy at -332.34 eV per cell. For the density of states at the Fermi level, the calculation gives 12.3 states/eV/f.u.

The structure belongs to space group R-3m (No. 166, hexagonal axes); the cell edges are 6.9713, 6.9713 and 17.7213 Å and the angles 90.00°, 90.00° and 120.00°. The inequivalent atoms are Th at (0.0000, 0.0000, 0.0975), Ni at (0.0676, 0.5338, 0.3100), Ni at (0.0783, 0.5391, 0.8932), Sn at (0.0000, 0.0000, 0.5000) and B at (0.0000, 0.5000, 0.0000).

=====

A plane-wave DFT calculation with GGA-PBE was carried out for a geometry-optimized Tm4Ni12SnB3 structure.

The calculation puts the calculated formation energy at -27.2 kJ per mole of atoms. The calculation puts the final energy at -233.88 eV per cell. For the density of states at the Fermi level, the calculation gives 14.5 states/eV/f.u.

The structure belongs to space group Im-3m (No. 229); the cell edges are 8.3067, 8.3067 and 8.3067 Å and the angles 90.00°, 90.00° and 90.00°. The inequivalent atoms are Tm at (0.2500, 0.2500, 0.2500), Ni at (0.0000, 0.0000, 0.2841), Ni at (0.0000, 0.2500, 0.5000), Sn at (0.0000, 0.0000, 0.0000) and B at (0.0000, 0.0000, 0.5000).

=====

A plane-wave DFT calculation with GGA-PBE was carried out for a geometry-optimized VNiSnB2 structure.

The calculation puts the calculated formation energy at 108.9 kJ per mole of atoms. The calculation puts the final energy at -26.62 eV per cell. For the density of states at the Fermi level, the calculation gives 5.7 states/eV/f.u.

The structure belongs to space group P4/mmm (No. 123); the cell edges are 4.0718, 4.0718 and 4.5640 Å and the angles 90.00°, 90.00° and 90.00°. The inequivalent atoms are V at (0.0000, 0.0000, 0.0000), Ni at (0.0000, 0.0000, 0.5000), Sn at (0.5000, 0.5000, 0.5000) and B at (0.0000, 0.5000, 0.0000).

=====

A plane-wave DFT calculation with GGA-PBE was carried out for a geometry-optimized Y2Ni12SnB3 structure.

The calculation puts the calculated formation energy at -9.1 kJ per mole of atoms. The calculation puts the final energy at -324.11 eV per cell. For the density of states at the Fermi level, the calculation gives 10.1 states/eV/f.u.

The structure belongs to space group R-3m (No. 166, hexagonal axes); the cell edges are 6.9823, 6.9823 and 17.2164 Å and the angles 90.00°, 90.00° and 120.00°. The inequivalent atoms are Y at (0.0000, 0.0000, 0.0933), Ni at (0.0706, 0.5353, 0.3077), Ni at (0.0764, 0.5382, 0.8908), Sn at (0.0000, 0.0000, 0.5000) and B at (0.0000, 0.5000, 0.0000).